The following is a DFT calculation (PBE-GGA) of an optimized crystal structure of EuYEr2.

a b c (Å): 3.521 3.521 12.647
angles (deg): 82.00 82.00 60.00
Site moments in Bohr magnetons follow the coordinates.
Sites, in units of the cell vectors:
Er: 0.909 0.909 0.273  0.05
Er: 0.091 0.091 0.727  0.05
Y: 0.500 0.500 0.500  0.00
Eu: 0.000 0.000 0.000  7.09

crystal system	trigonal
electronic total energy	-6.30	eV per atom
ΔE_f	169	meV/atom
distance to the lowest polymorph of the same formula	0.40	eV per formula unit